A geometry-optimized TbScAu4 structure, computed with PBE-GGA.

Cell lengths 3.649, 3.649, 8.940 Å; angles 90.00, 90.00, 90.00 degrees
Atoms (fractional coordinates):
Tb (0.000, 0.000, 0.000)
Sc (0.500, 0.500, 0.500)
Au (0.000, 0.000, 0.342)
Au (0.000, 0.000, 0.658)
Au (0.500, 0.500, 0.173)
Au (0.500, 0.500, 0.827)

Output
Total magnetization in μB per formula unit: 0.0
Energy of formation from the pure elements in meV/atom: -824